Record 1
# Ac6TlGe5

An optimized crystal structure of Ac6TlGe5 (PBE, the Alexandria database).

```
12
Lattice="7.9203 0.2664 0.0000 2.4783 7.7772 0.0000 1.2391 3.8886 6.9714" Properties=species:S:1:pos:R:3 pbc="T T T"
Tl 0.0000 0.0000 0.0000
Ge 5.1993 4.0218 0.0000
Ac 5.1591 9.6420 4.4759
Ac 3.9200 5.7534 2.4955
Ac 2.7141 2.1866 0.0000
Ge 5.1993 4.0218 4.8462
Ge 2.4783 7.7772 4.5730
Ac 7.7177 6.1788 4.4759
Ge 6.4384 7.9104 2.1251
Ge 1.2391 3.8886 2.3983
Ac 6.4786 2.2902 2.4955
Ac 7.6844 5.8570 0.0000
```

Output
Calculated total energy ... -56.16 eV/f.u.
Volume ... 35.401 Å³ per atom
Symmetry ... No. 12
DFT formation energy ... -0.5051 eV per atom


Record 2
# Ac4Tl3Ge5

An optimized crystal structure of Ac4Tl3Ge5 (PBE, the Alexandria database).

```
12
Lattice="-0.3591 0.0476 -5.0303 -4.9344 -5.8161 -2.2309 -8.9296 6.2166 -1.8319" Properties=species:S:1:pos:R:3 pbc="T T T"
Tl -6.4251 3.1125 -4.5683
Ge -3.0292 -1.0849 -2.3222
Ge -7.1115 0.2240 -4.5466
Ge -1.2961 0.7067 -2.4290
Ac -4.2026 -3.8969 -2.2650
Ac -10.0205 4.3449 -6.8281
Ge -12.9270 -0.2587 -6.6642
Ge -11.1939 1.5329 -6.7710
Tl -7.7980 -2.6645 -4.5249
Tl -6.9320 0.2002 -2.0314
Ac -10.2430 -0.3096 -4.3281
Ac -3.9801 0.7576 -4.7651
```

Output
Calculated total energy ... -50.08 eV/f.u.
Volume ... 33.939 Å³ per atom
Symmetry ... No. 12
DFT formation energy ... -0.2882 eV per atom


Record 3
# Ac2Tl3Ge2

An optimized crystal structure of Ac2Tl3Ge2 (PBE, the Alexandria database).

```
7
Lattice="4.6093 0.0000 0.0000 0.0000 4.0919 -0.8053 0.0000 0.0858 11.2345" Properties=species:S:1:pos:R:3 pbc="T T T"
Ge 2.3047 1.2172 6.1851
Tl 2.3047 1.8195 9.2454
Tl 2.3047 2.3581 1.1838
Tl 0.0000 0.0000 0.0000
Ge 2.3047 2.9604 4.2441
Ac 0.0000 3.4613 6.7891
Ac 0.0000 0.7164 3.6401
```

Output
Polymorph energy (0 for the lowest one) ... 0.03 eV/f.u.
Calculated total energy ... -27.48 eV/f.u.
Volume ... 30.316 Å³ per atom
Symmetry ... No. 65
DFT formation energy ... -0.4185 eV per atom


Record 4
# Ac4TlGe

An optimized crystal structure of Ac4TlGe (PBE, the Alexandria database).

```
12
Lattice="7.8722 0.0000 0.0405 0.0000 7.9266 0.0000 -0.0771 0.0000 8.0605" Properties=species:S:1:pos:R:3 pbc="T T T"
Tl 0.0000 0.0000 0.0000
Ac 6.7334 5.1587 1.4183
Ge -0.0386 3.9633 4.0303
Ac 6.5093 1.3014 2.8744
Ac 1.0617 2.7679 6.6828
Ac 2.5732 2.6620 2.8541
Ac 5.2219 5.2647 5.2469
Tl 3.9361 3.9633 0.0203
Ac 4.9978 1.1954 6.7030
Ac 1.2857 6.6253 5.2267
Ge 3.8975 0.0000 4.0505
Ac 2.7973 6.7312 1.3980
```

Output
Polymorph energy (0 for the lowest one) ... 0.76 eV/f.u.
Calculated total energy ... -24.73 eV/f.u.
Volume ... 41.917 Å³ per atom
Symmetry ... No. 14
DFT formation energy ... -0.2188 eV per atom


Record 5
# Ac4Tl5Ge2

An optimized crystal structure of Ac4Tl5Ge2 (PBE, the Alexandria database).

```
11
Lattice="4.6592 0.0000 0.0000 0.0000 8.1890 0.1736 0.0000 -0.5864 9.3298" Properties=species:S:1:pos:R:3 pbc="T T T"
Tl 0.0000 6.5704 8.2604
Ge 0.0000 0.2907 5.8211
Tl 0.0000 3.2918 6.2473
Ac 2.3296 6.4303 1.4636
Tl 0.0000 1.0322 1.2431
Ge 0.0000 7.3119 3.6824
Ac 2.3296 1.1723 8.0399
Tl 0.0000 4.0945 0.0868
Tl 0.0000 4.3109 3.2562
Ac 2.3296 1.6495 3.8254
Ac 2.3296 5.9532 5.6780
```

Output
Calculated total energy ... -42.15 eV/f.u.
Volume ... 32.404 Å³ per atom
Symmetry ... No. 10
DFT formation energy ... -0.4225 eV per atom


Record 6
# Ac6Tl2Ge

An optimized crystal structure of Ac6Tl2Ge (PBE, the Alexandria database).

```
18
Lattice="6.8811 0.0000 0.2847 0.0000 9.4177 0.0000 -0.4407 0.0000 10.9229" Properties=species:S:1:pos:R:3 pbc="T T T"
Ge 3.4405 4.7089 0.1423
Ac 0.8249 3.1008 0.6827
Ac 4.1123 4.3541 3.1389
Ac 3.8698 1.7158 10.4416
Tl 2.8458 1.1424 2.8059
Tl 6.0660 3.5664 8.4097
Ac 2.3953 7.8097 4.9210
Tl 0.3745 5.8513 2.7979
Ac 0.4514 0.3547 8.4580
Ac 5.6155 6.3169 10.5248
Ac 2.3282 5.0636 8.0686
Ac 2.5706 7.7019 0.7660
Ge -0.2203 0.0000 5.4614
Ac 0.6496 2.9930 4.8378
Ac 5.9890 9.0630 2.7495
Tl 3.5947 8.2753 8.4016
Ac 4.0451 1.6081 6.2865
Ac 5.7908 6.4247 6.3697
```

Output
Polymorph energy (0 for the lowest one) ... 0.39 eV/f.u.
Calculated total energy ... -36.52 eV/f.u.
Volume ... 39.390 Å³ per atom
Symmetry ... No. 14
DFT formation energy ... -0.2801 eV per atom